Entry 1:
Material: ZnNi2Ir
Method: DFT, GGA-PBEsol
State: relaxed

abc: 2.6124 2.6124 7.0108
angles: 90.00 90.00 90.00
With the nearest neighbours (Å) after each atom.
Space group P4/mmm (No. 123)
Asymmetric unit:
Zn (0.0000, 0.0000, 0.0000) (multiplicity 1)  8 Ni 2.53, 4 Zn 2.61
Ni (0.5000, 0.5000, 0.2465) (multiplicity 2)  4 Zn 2.53, 4 Ir 2.56, 4 Ni 2.61
Ir (0.0000, 0.0000, 0.5000) (multiplicity 1)  8 Ni 2.56, 4 Ir 2.61

Computed properties:
ΔH_f (0 K): -0.4 eV/f.u.


Entry 2:
Material: Be2ZnMoPt
Method: DFT, GGA-PBEsol
State: relaxed

abc: 4.1255 4.1255 4.6013
angles: 90.00 90.00 90.00
With the nearest neighbours (Å) after each atom.
Space group P4/mmm (No. 123)
Asymmetric unit:
Be (0.0000, 0.5000, 0.0000) (multiplicity 2)  2 Pt 2.06
Zn (0.0000, 0.0000, 0.5000) (multiplicity 1)  2 Pt 2.30
Mo (0.5000, 0.5000, 0.5000) (multiplicity 1)  4 Zn 2.92, 8 Be 3.09
Pt (0.0000, 0.0000, 0.0000) (multiplicity 1)  4 Be 2.06, 2 Zn 2.30

Computed properties:
ΔH_f (0 K): 3.8 eV/f.u.


Number 1: raw total energy -6.037 eV per atom, total magnetization 0.0 μB per cell, volume 11.96 Å³ per atom. Number 2: raw total energy -4.910 eV per atom, total magnetization 2.4 μB per cell, volume 15.66 Å³ per atom.